Below is crystalline CsSeBrCl2 at its relaxed geometry, with properties calculated at the PBE level.

Cell and atoms, written as POSCAR:
```
CsSeBrCl2
1.0
-3.092 -3.265 3.171
3.998 -0.115 3.779
-2.076 4.224 2.325
Cl Cs Br Se
2 1 1 1
Direct
0.000 0.500 0.000
0.500 0.000 0.000
0.500 0.500 0.500
0.000 0.000 0.500
0.000 0.000 0.000
```

Space group = No. 123
ΔE_f (raw) = -820 meV/atom
DOS at the Fermi energy = 0.5519 states/eV per atom
DFT total energy = -13.81 eV per formula unit



Below is crystalline Si3Rh at its relaxed geometry, with properties calculated at the PBE level.

Cell and atoms, written as POSCAR:
```
Si3Rh
1.0
3.282 0.000 0.000
0.000 4.634 0.000
0.000 0.000 3.859
Si Rh
3 1
Direct
0.000 0.500 0.299
0.500 0.000 0.508
0.500 0.500 0.801
0.000 0.000 0.059
```

Space group = No. 25
ΔE_f (raw) = -27 meV/atom
DOS at the Fermi energy = 0.4423 states/eV per atom
DFT total energy = -23.73 eV per formula unit



Below is crystalline PmHo6Tm2Th3 at its relaxed geometry, with properties calculated at the PBE level.

Cell and atoms, written as POSCAR:
```
PmHo6Tm2Th3
1.0
6.153 0.000 0.007
-3.076 5.330 0.007
-1.040 -1.801 11.498
Ho Th Tm Pm
6 3 2 1
Direct
0.750 0.750 0.253
0.915 0.582 0.747
0.582 0.915 0.747
0.085 0.418 0.253
0.418 0.085 0.253
0.250 0.250 0.747
0.834 0.166 0.500
0.500 0.500 0.500
0.166 0.834 0.500
0.667 0.333 0.000
0.333 0.667 0.000
0.000 0.000 0.000
```

ΔH_f (0 K) = 0.023 eV per atom
Space group = No. 12
DOS at the Fermi energy = 1.4745 states/eV per atom
DFT total energy = -63.14 eV per formula unit



Below is crystalline Na17Tl11Cu at its relaxed geometry, with properties calculated at the PBE level.

Cell and atoms, written as POSCAR:
```
Na17Tl11Cu
1.0
-4.583 -9.320 -0.562
4.640 2.286 -9.024
7.051 -0.148 7.483
Na Tl Cu
17 11 1
Direct
0.409 0.409 0.720
0.689 0.276 0.687
0.670 0.670 0.272
0.310 0.008 0.591
0.008 0.310 0.591
0.727 0.418 0.413
0.586 0.305 0.005
0.335 0.998 0.997
0.662 0.662 0.663
0.593 0.004 0.308
0.276 0.689 0.687
0.305 0.586 0.005
0.418 0.727 0.413
0.004 0.593 0.308
0.989 0.989 0.334
0.998 0.335 0.997
0.002 0.002 0.002
0.816 0.003 0.621
0.805 0.614 0.998
0.207 0.207 0.847
0.390 0.206 0.369
0.823 0.199 0.196
0.620 0.001 0.812
0.001 0.620 0.812
0.199 0.823 0.196
0.206 0.390 0.369
0.003 0.816 0.621
0.614 0.805 0.998
0.333 0.333 0.168
```

ΔH_f (0 K) = -0.073 eV per atom
Space group = No. 8
DOS at the Fermi energy = 0.4921 states/eV per atom
DFT total energy = -54.67 eV per formula unit